! ScMoSeN2, relaxed, DFT PBE; values from VASP
! - Relative energy among the computed polymorphs: 0 meV/atom
! - DOS(E_F): 2.322 states/eV/cell
! - Uncorrected energy: -38.177 eV for the cell shown
! - Raw formation energy: -0.176 eV per atom
! - SG: No. 123
&SYSTEM
  ibrav = 0, nat = 5, ntyp = 4
/
ATOMIC_SPECIES
Sc 44.96 Sc.upf
Mo 95.94 Mo.upf
Se 78.96 Se.upf
N 14.01 N.upf
CELL_PARAMETERS angstrom
3.923 0.000 0.000
0.000 3.923 0.000
0.000 0.000 5.175
ATOMIC_POSITIONS crystal
Sc 0.000 0.000 0.000
Mo 0.500 0.500 0.500
Se 0.500 0.500 0.000
N 0.000 0.500 0.500
N 0.500 0.000 0.500

---

! Ho8CoAg2, relaxed, DFT PBE; values from VASP
! - Relative energy among the computed polymorphs: 0 meV/atom
! - DOS(E_F): 10.186 states/eV/cell
! - E_form: -0.128 eV/atom
! - Uncorrected energy: -50.841 eV for the cell shown
! - SG: No. 12
&SYSTEM
  ibrav = 0, nat = 11, ntyp = 3
/
ATOMIC_SPECIES
Ho 164.93 Ho.upf
Co 58.93 Co.upf
Ag 107.87 Ag.upf
CELL_PARAMETERS angstrom
8.596 -2.601 0.000
8.596 2.601 0.000
-2.070 0.000 6.418
ATOMIC_POSITIONS crystal
Ho 0.026 0.026 0.291
Ho 0.201 0.201 0.805
Ho 0.344 0.344 0.535
Ho 0.411 0.411 0.075
Ho 0.589 0.589 0.925
Ho 0.656 0.656 0.465
Ho 0.799 0.799 0.195
Ho 0.974 0.974 0.709
Co 0.500 0.500 0.500
Ag 0.184 0.184 0.217
Ag 0.816 0.816 0.783

---

! NiC2S, relaxed, DFT PBE; values from VASP
! - DOS(E_F): 2.502 states/eV/cell
! - Uncorrected energy: -47.888 eV for the cell shown
! - Raw formation energy: 1.103 eV per atom
! - SG: No. 122
&SYSTEM
  ibrav = 0, nat = 8, ntyp = 3
/
ATOMIC_SPECIES
Ni 58.69 Ni.upf
C 12.01 C.upf
S 32.06 S.upf
CELL_PARAMETERS angstrom
-2.219 2.219 3.998
2.219 -2.219 3.998
2.219 2.219 -3.998
ATOMIC_POSITIONS crystal
Ni 0.000 0.000 0.000
Ni 0.750 0.250 0.500
C 0.156 0.625 0.031
C 0.375 0.406 0.531
C 0.594 0.125 0.969
C 0.875 0.844 0.469
S 0.250 0.750 0.500
S 0.500 0.500 0.000

---

! Sm3Bi2, relaxed, DFT PBE; values from VASP
! - DOS(E_F): 20.924 states/eV/cell
! - E_form: -0.608 eV/atom
! - Uncorrected energy: -99.844 eV for the cell shown
! - SG: No. 60
&SYSTEM
  ibrav = 0, nat = 20, ntyp = 2
/
ATOMIC_SPECIES
Sm 150.36 Sm.upf
Bi 208.98 Bi.upf
CELL_PARAMETERS angstrom
9.747 0.000 0.000
0.000 8.210 0.000
0.000 0.000 8.247
ATOMIC_POSITIONS crystal
Sm 0.000 0.131 0.250
Sm 0.000 0.869 0.750
Sm 0.153 0.486 0.621
Sm 0.153 0.514 0.121
Sm 0.347 0.014 0.121
Sm 0.347 0.986 0.621
Sm 0.500 0.369 0.750
Sm 0.500 0.631 0.250
Sm 0.653 0.014 0.379
Sm 0.653 0.986 0.879
Sm 0.847 0.486 0.879
Sm 0.847 0.514 0.379
Bi 0.149 0.205 0.887
Bi 0.149 0.795 0.387
Bi 0.351 0.295 0.387
Bi 0.351 0.705 0.887
Bi 0.649 0.295 0.113
Bi 0.649 0.705 0.613
Bi 0.851 0.205 0.613
Bi 0.851 0.795 0.113